{"formula": "PrHo2In", "functional": "PBE", "state": "relaxed", "lattice": [[1.809, 1.045, 10.937], [-1.809, 1.045, 10.937], [0.000, -2.089, 10.937]], "species": ["Pr", "Ho", "Ho", "In"], "frac_coords": [[0.000, 0.000, 0.000], [0.576, 0.576, 0.576], [0.758, 0.758, 0.758], [0.167, 0.167, 0.167]], "total_magnetization_mub_per_atom": 0.000, "volume_a3_per_atom": 31.010, "formation_energy_ev_per_atom": -0.1306, "spacegroup": "R3m (160)", "relative_energy_mev_per_atom": 128}